[1]
Na3GaBi: relaxed, GGA-PBEsol.

The structure in extended XYZ format:
```
5
Lattice="5.3945 0.0000 0.0000 0.0000 5.3945 0.0000 0.0000 0.0000 5.3945" Properties=species:S:1:pos:R:3 pbc="T T T"
Na 0.0000 0.0000 2.6972
Na 0.0000 2.6972 0.0000
Na 2.6972 0.0000 0.0000
Ga 0.0000 0.0000 0.0000
Bi 2.6972 2.6972 2.6972
```

Summary:
DFT formation energy = 0.2805 eV per atom
electronic total energy = -10.42 eV/cell
energy above the lowest structure with this stoichiometry = 0.068 eV per atom
crystal system = cubic



[2]
ZrHg2TeSe: relaxed, GGA-PBEsol.

The structure in extended XYZ format:
```
5
Lattice="5.3388 0.0000 0.0000 0.0000 5.3388 0.0000 0.0000 0.0000 5.4705" Properties=species:S:1:pos:R:3 pbc="T T T"
Zr 0.0000 0.0000 0.0000
Hg 0.0000 2.6694 2.7352
Hg 2.6694 0.0000 2.7352
Te 2.6694 2.6694 2.7352
Se 2.6694 2.6694 0.0000
```

Summary:
ΔE_f (raw) = 0.8705 eV per atom
electronic total energy = -13.25 eV/cell
crystal system = tetragonal



[3]
ZnOsSe2: relaxed, GGA-PBEsol.

The structure in extended XYZ format:
```
4
Lattice="3.1723 0.0000 0.0000 0.0000 3.1723 0.0000 0.0000 0.0000 6.9222" Properties=species:S:1:pos:R:3 pbc="T T T"
Zn 0.0000 0.0000 0.0000
Os 1.5861 1.5861 1.5861
Se 0.0000 0.0000 2.9004
Se 1.5861 1.5861 5.7832
```

Summary:
ΔE_f (raw) = 0.2327 eV per atom
electronic total energy = -20.57 eV/cell
crystal system = tetragonal



[4]
Ba2HgSb2: relaxed, GGA-PBEsol.

The structure in extended XYZ format:
```
10
Lattice="8.6085 0.0000 0.0000 0.0000 8.6085 0.0000 0.0000 0.0000 4.8198" Properties=species:S:1:pos:R:3 pbc="T T T"
Ba 1.5591 2.7452 0.0000
Ba 2.7452 7.0494 0.0000
Ba 5.8633 1.5591 0.0000
Ba 7.0494 5.8633 0.0000
Hg 0.0000 0.0000 2.4099
Hg 4.3042 4.3042 2.4099
Sb 0.9988 5.3030 2.4099
Sb 3.3054 0.9988 2.4099
Sb 5.3030 7.6097 2.4099
Sb 7.6097 3.3054 2.4099
```

Summary:
ΔE_f (raw) = -0.7693 eV per atom
electronic total energy = -35.65 eV/cell
crystal system = tetragonal



The highest electronic total energy belongs to which entry?
Na3GaBi